Record 1
{"formula": "Ca2N", "functional": "GGA-PBEsol", "state": "relaxed", "total_energy_ev_per_cell": -46.11, "lattice": [[3.561, 0.000, 0.000], [-1.781, 3.084, 0.000], [0.000, 0.000, 19.059]], "species": ["Ca", "Ca", "Ca", "Ca", "Ca", "Ca", "N", "N", "N"], "fractional_positions": [[0.000, 0.000, 0.232], [0.000, 0.000, 0.768], [0.333, 0.667, 0.435], [0.333, 0.667, 0.899], [0.667, 0.333, 0.101], [0.667, 0.333, 0.565], [0.000, 0.000, 0.500], [0.333, 0.667, 0.167], [0.667, 0.333, 0.833]]}

Record 2
{"formula": "Ca3N2", "functional": "GGA-PBEsol", "state": "relaxed", "relative_energy_mev_per_atom": 10, "total_energy_ev_per_cell": -55.85, "lattice": [[3.060, 1.767, 5.483], [-3.060, 1.767, 5.483], [0.000, -3.533, 5.483]], "species": ["Ca", "Ca", "Ca", "Ca", "Ca", "Ca", "N", "N", "N", "N"], "fractional_positions": [[0.050, 0.750, 0.450], [0.250, 0.550, 0.950], [0.450, 0.050, 0.750], [0.550, 0.950, 0.250], [0.750, 0.450, 0.050], [0.950, 0.250, 0.550], [0.147, 0.147, 0.147], [0.353, 0.353, 0.353], [0.647, 0.647, 0.647], [0.853, 0.853, 0.853]]}

Record 3
{"formula": "Na2CaN", "functional": "GGA-PBEsol", "state": "relaxed", "total_energy_ev_per_cell": -43.28, "lattice": [[7.072, 0.000, 0.000], [0.000, 7.072, 0.000], [0.000, 0.000, 10.096]], "species": ["Na", "Na", "Na", "Na", "Na", "Na", "Na", "Na", "Ca", "Ca", "Ca", "Ca", "N", "N", "N", "N"], "fractional_positions": [[0.000, 0.000, 0.000], [0.000, 0.500, 0.000], [0.250, 0.250, 0.750], [0.250, 0.750, 0.250], [0.500, 0.000, 0.500], [0.500, 0.500, 0.500], [0.750, 0.250, 0.750], [0.750, 0.750, 0.250], [0.000, 0.250, 0.375], [0.000, 0.750, 0.625], [0.500, 0.250, 0.125], [0.500, 0.750, 0.875], [0.000, 0.250, 0.875], [0.000, 0.750, 0.125], [0.500, 0.250, 0.625], [0.500, 0.750, 0.375]]}

Record 4
{"formula": "NaCaSeN2", "functional": "GGA-PBEsol", "state": "relaxed", "total_energy_ev_per_cell": -19.58, "lattice": [[4.374, 0.000, 0.000], [0.000, 4.374, 0.000], [0.000, 0.000, 5.289]], "species": ["Na", "Ca", "Se", "N", "N"], "fractional_positions": [[0.000, 0.000, 0.000], [0.500, 0.500, 0.500], [0.000, 0.000, 0.500], [0.000, 0.500, 0.000], [0.500, 0.000, 0.000]]}

Record 5
{"formula": "CaReNi2N", "functional": "GGA-PBEsol", "state": "relaxed", "total_energy_ev_per_cell": -19.54, "lattice": [[4.127, 0.000, 0.000], [0.000, 4.127, 0.000], [0.000, 0.000, 5.165]], "species": ["Ca", "Re", "Ni", "Ni", "N"], "fractional_positions": [[0.000, 0.000, 0.000], [0.000, 0.000, 0.500], [0.000, 0.500, 0.000], [0.500, 0.000, 0.000], [0.500, 0.500, 0.500]]}

Record 6
{"formula": "CaReNiN2", "functional": "GGA-PBEsol", "state": "relaxed", "total_energy_ev_per_cell": -29.22, "lattice": [[3.830, 0.000, 0.000], [0.000, 3.830, 0.000], [0.000, 0.000, 4.432]], "species": ["Ca", "Re", "Ni", "N", "N"], "fractional_positions": [[0.000, 0.000, 0.000], [0.500, 0.500, 0.000], [0.000, 0.000, 0.500], [0.000, 0.500, 0.500], [0.500, 0.000, 0.500]]}

Record 7
{"formula": "CaPNO2", "functional": "GGA-PBEsol", "state": "relaxed", "total_energy_ev_per_cell": -27.50, "lattice": [[4.240, 0.000, 0.000], [0.000, 4.240, 0.000], [0.000, 0.000, 3.315]], "species": ["Ca", "P", "N", "O", "O"], "fractional_positions": [[0.000, 0.000, 0.000], [0.500, 0.500, 0.000], [0.500, 0.500, 0.500], [0.000, 0.500, 0.500], [0.500, 0.000, 0.500]]}

Record 8
{"formula": "RbCaNO2", "functional": "GGA-PBEsol", "state": "relaxed", "total_energy_ev_per_cell": -23.55, "lattice": [[4.484, 0.000, 0.000], [0.000, 4.484, 0.000], [0.000, 0.000, 4.786]], "species": ["Rb", "Ca", "N", "O", "O"], "fractional_positions": [[0.000, 0.000, 0.000], [0.500, 0.500, 0.500], [0.500, 0.500, 0.000], [0.000, 0.500, 0.500], [0.500, 0.000, 0.500]]}

Record 9
{"formula": "CaRhNO2", "functional": "GGA-PBEsol", "state": "relaxed", "total_energy_ev_per_cell": -24.39, "lattice": [[4.184, 0.000, 0.000], [0.000, 4.184, 0.000], [0.000, 0.000, 4.403]], "species": ["Ca", "Rh", "N", "O", "O"], "fractional_positions": [[0.000, 0.000, 0.000], [0.500, 0.500, 0.500], [0.000, 0.000, 0.500], [0.000, 0.500, 0.000], [0.500, 0.000, 0.000]]}

Record 10
{"formula": "CaSNO2", "functional": "GGA-PBEsol", "state": "relaxed", "total_energy_ev_per_cell": -29.35, "lattice": [[3.851, 0.000, 0.000], [0.000, 3.851, 0.000], [0.000, 0.000, 3.406]], "species": ["Ca", "S", "N", "O", "O"], "fractional_positions": [[0.000, 0.000, 0.000], [0.500, 0.500, 0.500], [0.500, 0.500, 0.000], [0.000, 0.500, 0.500], [0.500, 0.000, 0.500]]}

Record 11
{"formula": "CaSeN2O", "functional": "GGA-PBEsol", "state": "relaxed", "total_energy_ev_per_cell": -28.53, "lattice": [[3.736, 0.000, 0.000], [0.000, 3.736, 0.000], [0.000, 0.000, 4.022]], "species": ["Ca", "Se", "N", "N", "O"], "fractional_positions": [[0.000, 0.000, 0.000], [0.500, 0.500, 0.500], [0.000, 0.500, 0.500], [0.500, 0.000, 0.500], [0.500, 0.500, 0.000]]}

Record 12
{"formula": "Ca6Sn2NO", "functional": "GGA-PBEsol", "state": "relaxed", "total_energy_ev_per_cell": -48.18, "lattice": [[0.000, 4.810, 4.810], [4.810, 0.000, 4.810], [4.810, 4.810, 0.000]], "species": ["Ca", "Ca", "Ca", "Ca", "Ca", "Ca", "Sn", "Sn", "N", "O"], "fractional_positions": [[0.248, 0.248, 0.752], [0.248, 0.752, 0.248], [0.248, 0.752, 0.752], [0.752, 0.248, 0.248], [0.752, 0.248, 0.752], [0.752, 0.752, 0.248], [0.250, 0.250, 0.250], [0.750, 0.750, 0.750], [0.000, 0.000, 0.000], [0.500, 0.500, 0.500]]}

Record 13
{"formula": "SrCaNO2", "functional": "GGA-PBEsol", "state": "relaxed", "total_energy_ev_per_cell": -27.45, "lattice": [[4.349, 0.000, 0.000], [0.000, 4.349, 0.000], [0.000, 0.000, 4.406]], "species": ["Sr", "Ca", "N", "O", "O"], "fractional_positions": [[0.000, 0.000, 0.000], [0.500, 0.500, 0.500], [0.500, 0.500, 0.000], [0.000, 0.500, 0.500], [0.500, 0.000, 0.500]]}

Record 14
{"formula": "Ca16Zr9Ta7N7O41", "functional": "GGA-PBEsol", "state": "relaxed", "total_energy_ev_per_cell": -712.71, "lattice": [[5.539, 0.000, 0.000], [0.009, 5.689, 0.000], [0.018, 0.000, 31.872]], "species": ["Ca", "Ca", "Ca", "Ca", "Ca", "Ca", "Ca", "Ca", "Ca", "Ca", "Ca", "Ca", "Ca", "Ca", "Ca", "Ca", "Zr", "Zr", "Zr", "Zr", "Zr", "Zr", "Zr", "Zr", "Zr", "Ta", "Ta", "Ta", "Ta", "Ta", "Ta", "Ta", "N", "N", "N", "N", "N", "N", "N", "O", "O", "O", "O", "O", "O", "O", "O", "O", "O", "O", "O", "O", "O", "O", "O", "O", "O", "O", "O", "O", "O", "O", "O", "O", "O", "O", "O", "O", "O", "O", "O", "O", "O", "O", "O", "O", "O", "O", "O", "O"], "fractional_positions": [[0.000, 0.000, 0.000], [0.000, 0.001, 0.750], [0.003, 0.005, 0.251], [0.480, 0.493, 0.503], [0.483, 0.492, 0.751], [0.489, 0.493, 0.251], [0.493, 0.492, 0.999], [0.497, 0.588, 0.630], [0.499, 0.589, 0.378], [0.506, 0.589, 0.880], [0.506, 0.590, 0.126], [0.982, 0.096, 0.879], [0.984, 0.096, 0.127], [0.989, 0.103, 0.378], [0.992, 0.093, 0.631], [0.994, 0.021, 0.504], [0.000, 0.553, 0.190], [0.491, 0.046, 0.816], [0.491, 0.046, 0.938], [0.492, 0.046, 0.065], [0.494, 0.046, 0.438], [0.494, 0.049, 0.188], [0.495, 0.049, 0.568], [0.495, 0.049, 0.690], [0.496, 0.048, 0.316], [0.000, 0.547, 0.063], [0.005, 0.538, 0.691], [0.012, 0.557, 0.940], [0.991, 0.554, 0.444], [0.993, 0.557, 0.563], [0.994, 0.550, 0.814], [0.999, 0.553, 0.315], [0.190, 0.265, 0.703], [0.288, 0.739, 0.952], [0.395, 0.019, 0.876], [0.397, 0.009, 0.126], [0.402, 0.017, 0.377], [0.405, 0.010, 0.628], [0.910, 0.577, 0.503], [0.078, 0.530, 0.628], [0.083, 0.517, 0.876], [0.087, 0.520, 0.375], [0.091, 0.516, 0.124], [0.180, 0.254, 0.952], [0.187, 0.256, 0.050], [0.188, 0.264, 0.801], [0.190, 0.258, 0.451], [0.190, 0.262, 0.301], [0.194, 0.268, 0.553], [0.195, 0.254, 0.204], [0.286, 0.741, 0.801], [0.288, 0.746, 0.704], [0.292, 0.735, 0.050], [0.295, 0.740, 0.302], [0.296, 0.742, 0.552], [0.301, 0.732, 0.451], [0.304, 0.746, 0.205], [0.593, 0.092, 0.502], [0.600, 0.089, 0.002], [0.602, 0.092, 0.753], [0.604, 0.094, 0.253], [0.694, 0.362, 0.177], [0.700, 0.367, 0.679], [0.701, 0.354, 0.928], [0.704, 0.367, 0.577], [0.705, 0.359, 0.826], [0.707, 0.361, 0.326], [0.709, 0.354, 0.076], [0.712, 0.356, 0.427], [0.801, 0.835, 0.928], [0.809, 0.840, 0.827], [0.810, 0.837, 0.075], [0.814, 0.852, 0.681], [0.815, 0.847, 0.326], [0.816, 0.845, 0.428], [0.816, 0.861, 0.178], [0.823, 0.857, 0.575], [0.900, 0.582, 0.754], [0.902, 0.586, 0.254], [0.903, 0.577, 0.002]]}

Record 15
{"formula": "CaTlNO2", "functional": "GGA-PBEsol", "state": "relaxed", "total_energy_ev_per_cell": -24.96, "lattice": [[4.254, 0.000, 0.000], [0.000, 4.254, 0.000], [0.000, 0.000, 4.152]], "species": ["Ca", "Tl", "N", "O", "O"], "fractional_positions": [[0.000, 0.000, 0.000], [0.500, 0.500, 0.500], [0.500, 0.500, 0.000], [0.000, 0.500, 0.500], [0.500, 0.000, 0.500]]}

Record 16
{"formula": "CaWN2O", "functional": "GGA-PBEsol", "state": "relaxed", "total_energy_ev_per_cell": -29.81, "lattice": [[4.044, 0.000, 0.000], [0.000, 4.044, 0.000], [0.000, 0.000, 4.007]], "species": ["Ca", "W", "N", "N", "O"], "fractional_positions": [[0.000, 0.000, 0.000], [0.500, 0.500, 0.500], [0.000, 0.500, 0.000], [0.500, 0.000, 0.000], [0.000, 0.000, 0.500]]}

Record 17
{"formula": "Ca7OsN6", "functional": "GGA-PBEsol", "state": "relaxed", "total_energy_ev_per_cell": -354.50, "lattice": [[10.927, 0.000, 0.000], [0.000, 6.198, 0.000], [0.000, 0.000, 13.213]], "species": ["Ca", "Ca", "Ca", "Ca", "Ca", "Ca", "Ca", "Ca", "Ca", "Ca", "Ca", "Ca", "Ca", "Ca", "Ca", "Ca", "Ca", "Ca", "Ca", "Ca", "Ca", "Ca", "Ca", "Ca", "Ca", "Ca", "Ca", "Ca", "Os", "Os", "Os", "Os", "N", "N", "N", "N", "N", "N", "N", "N", "N", "N", "N", "N", "N", "N", "N", "N", "N", "N", "N", "N", "N", "N", "N", "N"], "fractional_positions": [[0.000, 0.070, 0.250], [0.000, 0.930, 0.750], [0.036, 0.228, 0.520], [0.036, 0.772, 0.020], [0.209, 0.399, 0.110], [0.209, 0.601, 0.610], [0.223, 0.369, 0.871], [0.223, 0.631, 0.371], [0.277, 0.131, 0.371], [0.277, 0.869, 0.871], [0.291, 0.101, 0.610], [0.291, 0.899, 0.110], [0.464, 0.272, 0.020], [0.464, 0.728, 0.520], [0.500, 0.430, 0.750], [0.500, 0.570, 0.250], [0.536, 0.272, 0.480], [0.536, 0.728, 0.980], [0.709, 0.101, 0.890], [0.709, 0.899, 0.390], [0.723, 0.131, 0.129], [0.723, 0.869, 0.629], [0.777, 0.369, 0.629], [0.777, 0.631, 0.129], [0.791, 0.399, 0.390], [0.791, 0.601, 0.890], [0.964, 0.228, 0.980], [0.964, 0.772, 0.480], [0.000, 0.421, 0.750], [0.000, 0.579, 0.250], [0.500, 0.079, 0.250], [0.500, 0.921, 0.750], [0.031, 0.402, 0.365], [0.031, 0.598, 0.865], [0.131, 0.240, 0.701], [0.131, 0.760, 0.201], [0.168, 0.096, 0.988], [0.168, 0.904, 0.488], [0.332, 0.404, 0.488], [0.332, 0.596, 0.988], [0.369, 0.260, 0.201], [0.369, 0.740, 0.701], [0.469, 0.098, 0.865], [0.469, 0.902, 0.365], [0.531, 0.098, 0.635], [0.531, 0.902, 0.135], [0.631, 0.260, 0.299], [0.631, 0.740, 0.799], [0.668, 0.404, 0.012], [0.668, 0.596, 0.512], [0.832, 0.096, 0.512], [0.832, 0.904, 0.012], [0.869, 0.240, 0.799], [0.869, 0.760, 0.299], [0.969, 0.402, 0.135], [0.969, 0.598, 0.635]]}

Record 18
{"formula": "Ca5Os2N6", "functional": "GGA-PBEsol", "state": "relaxed", "total_energy_ev_per_cell": -190.07, "lattice": [[4.968, -3.266, 0.000], [4.968, 3.266, 0.000], [-2.899, 0.000, 12.095]], "species": ["Ca", "Ca", "Ca", "Ca", "Ca", "Ca", "Ca", "Ca", "Ca", "Ca", "Os", "Os", "Os", "Os", "N", "N", "N", "N", "N", "N", "N", "N", "N", "N", "N", "N"], "fractional_positions": [[0.116, 0.884, 0.750], [0.176, 0.690, 0.999], [0.229, 0.451, 0.281], [0.310, 0.824, 0.501], [0.451, 0.229, 0.781], [0.549, 0.771, 0.219], [0.690, 0.176, 0.499], [0.771, 0.549, 0.719], [0.824, 0.310, 0.001], [0.884, 0.116, 0.250], [0.181, 0.359, 0.558], [0.359, 0.181, 0.058], [0.641, 0.819, 0.942], [0.819, 0.641, 0.442], [0.098, 0.180, 0.642], [0.180, 0.098, 0.142], [0.200, 0.218, 0.410], [0.218, 0.200, 0.910], [0.410, 0.498, 0.627], [0.498, 0.410, 0.127], [0.502, 0.590, 0.873], [0.590, 0.502, 0.373], [0.782, 0.800, 0.090], [0.800, 0.782, 0.590], [0.820, 0.902, 0.858], [0.902, 0.820, 0.358]]}

Record 19
{"formula": "Ca2OsN3", "functional": "GGA-PBEsol", "state": "relaxed", "total_energy_ev_per_cell": -180.79, "lattice": [[2.717, -5.330, 0.000], [2.717, 5.330, 0.000], [0.000, 0.000, 11.906]], "species": ["Ca", "Ca", "Ca", "Ca", "Ca", "Ca", "Ca", "Ca", "Os", "Os", "Os", "Os", "N", "N", "N", "N", "N", "N", "N", "N", "N", "N", "N", "N"], "fractional_positions": [[0.046, 0.954, 0.856], [0.136, 0.864, 0.426], [0.364, 0.636, 0.926], [0.454, 0.546, 0.356], [0.546, 0.454, 0.644], [0.636, 0.364, 0.074], [0.864, 0.136, 0.574], [0.954, 0.046, 0.144], [0.249, 0.751, 0.656], [0.251, 0.749, 0.156], [0.749, 0.251, 0.844], [0.751, 0.249, 0.344], [0.059, 0.441, 0.750], [0.073, 0.927, 0.637], [0.155, 0.845, 0.025], [0.345, 0.655, 0.525], [0.427, 0.573, 0.137], [0.441, 0.059, 0.250], [0.559, 0.941, 0.750], [0.573, 0.427, 0.863], [0.655, 0.345, 0.475], [0.845, 0.155, 0.975], [0.927, 0.073, 0.363], [0.941, 0.559, 0.250]]}